Arrangement P

VASP calculation (meta-GGA SCAN) on CrOsCl2 at its PBEsol-relaxed geometry.

Density of states at the Fermi level = 0.645 states/eV/atom
V = 121 Å³ per cell

Cell: 2.8032 5.1698 8.3769 Å, 90.00 90.00 90.00°
Space group Cmmm (No. 65)
Asymmetric unit:
Cr 0.0000 0.0000 0.0000 [2 per cell]
Os 0.0000 0.0000 0.5000 [2 per cell]
Cl 0.0000 0.5000 0.2198 [4 per cell]


Arrangement Q

VASP calculation (meta-GGA SCAN) on CrOsCl2 at its PBEsol-relaxed geometry.

Density of states at the Fermi level = 0.718 states/eV/atom
V = 69 Å³ per cell

Cell: 2.8388 3.0082 8.0648 Å, 90.00 90.00 90.00°
Space group Pmm2 (No. 25)
Asymmetric unit:
Cr 0.0000 0.0000 0.0000 [1 per cell]
Os 0.5000 0.5000 0.1759 [1 per cell]
Cl 0.0000 0.5000 0.4150 [1 per cell]
Cl 0.5000 0.0000 0.7859 [1 per cell]


Going by the energies, arrangement Q is most stable and the next is 823 meV/atom up.


Arrangement P

VASP calculation (meta-GGA SCAN) on CrPCl2 at its PBEsol-relaxed geometry.

Density of states at the Fermi level = 0.089 states/eV/atom
V = 315 Å³ per cell

Cell: 8.4462 8.4462 4.4101 Å, 90.00 90.00 90.00°
Space group I-42d (No. 122)
Asymmetric unit:
Cr 0.0000 0.0000 0.0000 [4 per cell]
P 0.0000 0.0000 0.5000 [4 per cell]
Cl 0.1069 0.7500 0.1250 [8 per cell]


Arrangement Q

VASP calculation (meta-GGA SCAN) on CrPCl2 at its PBEsol-relaxed geometry.

Density of states at the Fermi level = 0.549 states/eV/atom
V = 259 Å³ per cell

Cell: 6.3730 6.3730 6.3730 Å, 90.00 90.00 90.00°
Space group F-43m (No. 216)
Asymmetric unit:
Cr 0.0000 0.0000 0.0000 [4 per cell]
P 0.2500 0.2500 0.7500 [4 per cell]
Cl 0.0000 0.0000 0.5000 [4 per cell]
Cl 0.2500 0.2500 0.2500 [4 per cell]


Going by the energies, arrangement P is most stable and the next is 716 meV/atom up.


Arrangement P

VASP calculation (meta-GGA SCAN) on CrPCl2 at its PBEsol-relaxed geometry.

Density of states at the Fermi level = 0.313 states/eV/atom
V = 69 Å³ per cell

Cell: 3.0726 4.0971 5.4425 Å, 90.00 90.00 90.00°
Space group Pmmm (No. 47)
Asymmetric unit:
Cr 0.0000 0.0000 0.0000 [1 per cell]
P 0.5000 0.0000 0.5000 [1 per cell]
Cl 0.0000 0.5000 0.5000 [1 per cell]
Cl 0.5000 0.5000 0.0000 [1 per cell]


Arrangement Q

VASP calculation (meta-GGA SCAN) on CrPCl2 at its PBEsol-relaxed geometry.

Density of states at the Fermi level = 0.689 states/eV/atom
V = 73 Å³ per cell

Cell: 2.8561 2.8561 9.0016 Å, 90.00 90.00 90.00°
Space group P4/mmm (No. 123)
Asymmetric unit:
Cr 0.0000 0.0000 0.0000 [1 per cell]
P 0.0000 0.0000 0.5000 [1 per cell]
Cl 0.5000 0.5000 0.1620 [2 per cell]


Arrangement R

VASP calculation (meta-GGA SCAN) on CrPCl2 at its PBEsol-relaxed geometry.

Density of states at the Fermi level = 1.279 states/eV/atom
V = 203 Å³ per cell

Cell: 3.1220 3.1220 24.0572 Å, 90.00 90.00 120.00°
Space group R3m (No. 160, hexagonal axes)
Asymmetric unit:
Cr 0.0000 0.0000 0.0000 [3 per cell]
P 0.0000 0.0000 0.7248 [3 per cell]
Cl 0.0000 0.0000 0.2680 [3 per cell]
Cl 0.0000 0.0000 0.4691 [3 per cell]


Arrangement S

VASP calculation (meta-GGA SCAN) on CrPCl2 at its PBEsol-relaxed geometry.

Density of states at the Fermi level = 0.397 states/eV/atom
V = 145 Å³ per cell

Cell: 5.8275 6.2115 4.0154 Å, 90.00 90.00 90.00°
Space group Cmmm (No. 65)
Asymmetric unit:
Cr 0.0000 0.0000 0.0000 [2 per cell]
P 0.0000 0.5000 0.0000 [2 per cell]
Cl 0.0000 0.2368 0.5000 [4 per cell]


Going by the energies, arrangement R is most stable and the next is 239 meV/atom up.


Arrangement P

VASP calculation (meta-GGA SCAN) on CrP2Cl at its PBEsol-relaxed geometry.

Density of states at the Fermi level = 0.347 states/eV/atom
V = 211 Å³ per cell

Cell: 5.9527 5.9527 5.9527 Å, 90.00 90.00 90.00°
Space group F-43m (No. 216)
Asymmetric unit:
Cr 0.0000 0.0000 0.0000 [4 per cell]
P 0.0000 0.0000 0.5000 [4 per cell]
P 0.2500 0.2500 0.2500 [4 per cell]
Cl 0.2500 0.2500 0.7500 [4 per cell]


Arrangement Q

VASP calculation (meta-GGA SCAN) on CrP2Cl at its PBEsol-relaxed geometry.

Density of states at the Fermi level = 0.344 states/eV/atom
V = 189 Å³ per cell

Cell: 3.0247 3.0247 23.8005 Å, 90.00 90.00 120.00°
Space group R3m (No. 160, hexagonal axes)
Asymmetric unit:
Cr 0.0000 0.0000 0.0000 [3 per cell]
P 0.0000 0.0000 0.4704 [3 per cell]
P 0.0000 0.0000 0.7420 [3 per cell]
Cl 0.0000 0.0000 0.2728 [3 per cell]


Going by the energies, arrangement Q is most stable and the next is 841 meV/atom up.


Arrangement P

VASP calculation (meta-GGA SCAN) on CrPtCl2 at its PBEsol-relaxed geometry.

Density of states at the Fermi level = 0.962 states/eV/atom
V = 65 Å³ per cell

Cell: 4.3907 4.3907 3.3507 Å, 90.00 90.00 90.00°
Space group P4/mmm (No. 123)
Asymmetric unit:
Cr 0.0000 0.0000 0.0000 [1 per cell]
Pt 0.5000 0.5000 0.0000 [1 per cell]
Cl 0.0000 0.5000 0.5000 [2 per cell]


Arrangement Q

VASP calculation (meta-GGA SCAN) on CrPtCl2 at its PBEsol-relaxed geometry.

Density of states at the Fermi level = 0.864 states/eV/atom
V = 220 Å³ per cell

Cell: 2.8065 2.8065 32.1877 Å, 90.00 90.00 120.00°
Space group R-3m (No. 166, hexagonal axes)
Asymmetric unit:
Cr 0.0000 0.0000 0.0000 [3 per cell]
Pt 0.0000 0.0000 0.5000 [3 per cell]
Cl 0.0000 0.0000 0.0658 [6 per cell]


Going by the energies, arrangement P is most stable and the next is 189 meV/atom up.


Arrangement P

VASP calculation (meta-GGA SCAN) on CrRuCl2 at its PBEsol-relaxed geometry.

Density of states at the Fermi level = 0.384 states/eV/atom
V = 145 Å³ per cell

Cell: 2.9344 3.0966 15.9095 Å, 90.00 90.00 90.00°
Space group Imm2 (No. 44)
Asymmetric unit:
Cr 0.0000 0.0000 0.0000 [2 per cell]
Ru 0.0000 0.5000 0.9052 [2 per cell]
Cl 0.0000 0.0000 0.5918 [2 per cell]
Cl 0.0000 0.5000 0.3040 [2 per cell]


Arrangement Q

VASP calculation (meta-GGA SCAN) on CrRuCl2 at its PBEsol-relaxed geometry.

Density of states at the Fermi level = 0.360 states/eV/atom
V = 239 Å³ per cell

Cell: 6.2091 6.2091 6.2091 Å, 90.00 90.00 90.00°
Space group Fm-3m (No. 225)
Asymmetric unit:
Cr 0.0000 0.0000 0.0000 [4 per cell]
Ru 0.0000 0.0000 0.5000 [4 per cell]
Cl 0.2500 0.2500 0.2500 [8 per cell]


Going by the energies, arrangement P is most stable and the next is 223 meV/atom up.